## TiIn2RhS (PBEsol)

Data for TiIn2RhS after structural relaxation.

It has space group P4/mmm (No. 123), with a = 5.131 Å, b = 5.131 Å, c = 4.344 Å, α = 90.00°, β = 90.00° and γ = 90.00°. The asymmetric unit holds Ti at (0.000, 0.000, 0.000), In at (0.000, 0.500, 0.500), Rh at (0.500, 0.500, 0.500) and S at (0.500, 0.500, 0.000).

Its formation energy without anion corrections is 42 kJ/mol of atoms. The calculation puts the uncorrected energy at -4.9301 eV per atom. The total magnetization comes out at 2.12 μB per formula unit.

=====

## CrCdCo2 (PBEsol)

Data for CrCdCo2 after structural relaxation.

It has space group Pmm2 (No. 25), with a = 2.656 Å, b = 3.365 Å, c = 5.733 Å, α = 90.00°, β = 90.00° and γ = 90.00°. The asymmetric unit holds Cr at (0.000, 0.000, 0.000), Cd at (0.500, 0.500, 0.322), Co at (0.000, 0.000, 0.607) and Co at (0.500, 0.500, 0.825).

The calculation puts the uncorrected energy at -6.3609 eV per atom. The value obtained for the energy of formation from the pure elements is 367 meV/atom. The total magnetization comes out at 2.78 μB per formula unit.

=====

## BeNiRu2 (PBEsol)

Data for BeNiRu2 after structural relaxation.

It has space group R3m (No. 160, hexagonal axes), with a = 2.6120 Å, b = 2.6120 Å, c = 23.5993 Å, α = 90.00°, β = 90.00° and γ = 120.00°. The asymmetric unit holds Be at (0.0000, 0.0000, 0.0000), Ni at (0.0000, 0.0000, 0.7393), Ru at (0.0000, 0.0000, 0.2517) and Ru at (0.0000, 0.0000, 0.4949).

The calculation puts the uncorrected energy at -7.5629 eV per atom. The value obtained for the energy of formation from the pure elements is 63 meV/atom. The total magnetization comes out at 0.00 μB per formula unit.

=====

## As2PtW (PBEsol)

Data for As2PtW after structural relaxation.

It has space group Cm (No. 8), with a = 8.487 Å, b = 3.377 Å, c = 4.711 Å, α = 90.00°, β = 106.65° and γ = 90.00°. The asymmetric unit holds As at (0.000, 0.000, 0.000), As at (0.226, 0.000, 0.622), Pt at (0.475, 0.000, 0.435) and W at (0.219, 0.500, 0.038).

The calculation puts the uncorrected energy at -7.7240 eV per atom. The value obtained for the energy of formation from the pure elements is 22 meV/atom. The total magnetization comes out at 0.00 μB per formula unit.

=====

## RbSc2Pb (PBEsol)

Data for RbSc2Pb after structural relaxation.

It has space group R-3m (No. 166, hexagonal axes), with a = 3.4009 Å, b = 3.4009 Å, c = 37.7671 Å, α = 90.00°, β = 90.00° and γ = 120.00°. The asymmetric unit holds Rb at (0.0000, 0.0000, 0.0000), Sc at (0.0000, 0.0000, 0.4226) and Pb at (0.0000, 0.0000, 0.5000).

The calculation puts the uncorrected energy at -4.0520 eV per atom. The value obtained for the energy of formation from the pure elements is 506 meV/atom. The total magnetization comes out at 0.52 μB per formula unit.

=====

## AlCu2Au (PBEsol)

Data for AlCu2Au after structural relaxation.

It has space group I4/mmm (No. 139), with a = 3.713 Å, b = 3.713 Å, c = 7.773 Å, α = 90.00°, β = 90.00° and γ = 90.00°. The asymmetric unit holds Al at (0.000, 0.000, 0.000), Cu at (0.000, 0.500, 0.250) and Au at (0.000, 0.000, 0.500).

The calculation puts the uncorrected energy at -4.4326 eV per atom. The value obtained for the energy of formation from the pure elements is -262 meV/atom. The total magnetization comes out at 0.00 μB per formula unit.

=====

## CoNiPt (PBEsol)

Data for CoNiPt after structural relaxation.

It has space group Imm2 (No. 44), with a = 2.616 Å, b = 3.578 Å, c = 7.751 Å, α = 90.00°, β = 90.00° and γ = 90.00°. The asymmetric unit holds Co at (0.000, 0.000, 0.000), Ni at (0.000, 0.000, 0.657) and Pt at (0.000, 0.000, 0.329).

The calculation puts the uncorrected energy at -7.0221 eV per atom. The value obtained for the energy of formation from the pure elements is -69 meV/atom. The value obtained for the energy relative to the lowest polymorph listed for this composition is 0 meV/atom. The total magnetization comes out at 2.80 μB per formula unit.

=====

## KPRuO2 (PBEsol)

Data for KPRuO2 after structural relaxation.

It has space group P4/mmm (No. 123), with a = 3.783 Å, b = 3.783 Å, c = 6.157 Å, α = 90.00°, β = 90.00° and γ = 90.00°. The asymmetric unit holds K at (0.000, 0.000, 0.000), P at (0.000, 0.000, 0.500), Ru at (0.500, 0.500, 0.500) and O at (0.000, 0.500, 0.000).

Its formation energy without anion corrections is 175 kJ/mol of atoms. The calculation puts the uncorrected energy at -3.7087 eV per atom. The total magnetization comes out at 2.38 μB per formula unit.

=====

## CaSc2Cu (PBEsol)

Data for CaSc2Cu after structural relaxation.

It has space group I-4m2 (No. 119), with a = 4.323 Å, b = 4.323 Å, c = 9.413 Å, α = 90.00°, β = 90.00° and γ = 90.00°. The asymmetric unit holds Ca at (0.000, 0.000, 0.000), Sc at (0.000, 0.000, 0.500), Sc at (0.000, 0.500, 0.750) and Cu at (0.000, 0.500, 0.250).

The calculation puts the uncorrected energy at -4.6292 eV per atom. The value obtained for the energy of formation from the pure elements is 290 meV/atom. The total magnetization comes out at 0.01 μB per formula unit.

=====

## CaCrMo2Pt (PBEsol)

Data for CaCrMo2Pt after structural relaxation.

It has space group P4/mmm (No. 123), with a = 4.350 Å, b = 4.350 Å, c = 4.925 Å, α = 90.00°, β = 90.00° and γ = 90.00°. The asymmetric unit holds Ca at (0.000, 0.000, 0.000), Cr at (0.000, 0.000, 0.500), Mo at (0.000, 0.500, 0.500) and Pt at (0.500, 0.500, 0.000).

The calculation puts the uncorrected energy at -7.3884 eV per atom. The value obtained for the energy of formation from the pure elements is 1186 meV/atom. The total magnetization comes out at 0.00 μB per formula unit.

=====

## Ca2PIr (PBEsol)

Data for Ca2PIr after structural relaxation.

It has space group Amm2 (No. 38), with a = 4.300 Å, b = 4.408 Å, c = 9.476 Å, α = 90.00°, β = 90.00° and γ = 90.00°. The asymmetric unit holds Ca at (0.000, 0.000, 0.000), Ca at (0.500, 0.000, 0.297), P at (0.500, 0.000, 0.608) and Ir at (0.000, 0.000, 0.693).

The calculation puts the uncorrected energy at -5.7375 eV per atom. The value obtained for the energy of formation from the pure elements is -767 meV/atom. The total magnetization comes out at 0.00 μB per formula unit.

=====

## HoRe2SiC (PBEsol)

Data for HoRe2SiC after structural relaxation.

It has space group Cmcm (No. 63), with a = 3.903 Å, b = 10.825 Å, c = 7.211 Å, α = 90.00°, β = 90.00° and γ = 90.00°. The asymmetric unit holds Ho at (0.000, 0.042, 0.250), Re at (0.000, 0.326, 0.062), Si at (0.000, 0.236, 0.750) and C at (0.000, 0.500, 0.000).

Its formation energy without anion corrections is -47 kJ/mol of atoms. The calculation puts the uncorrected energy at -9.8850 eV per atom. The total magnetization comes out at 0.00 μB per formula unit.

=====

## RbGe4Pt4 (PBEsol)

Data for RbGe4Pt4 after structural relaxation.

It has space group I4 (No. 79), with a = 8.668 Å, b = 8.668 Å, c = 4.743 Å, α = 90.00°, β = 90.00° and γ = 90.00°. The asymmetric unit holds Rb at (0.000, 0.000, 0.000), Ge at (0.117, 0.619, 0.702) and Pt at (0.173, 0.324, 0.702).

The calculation puts the uncorrected energy at -5.8740 eV per atom. The value obtained for the energy of formation from the pure elements is -470 meV/atom. The total magnetization comes out at 0.00 μB per formula unit.

=====

## CuPt3 (PBEsol)

Data for CuPt3 after structural relaxation.

It has space group Imm2 (No. 44), with a = 2.708 Å, b = 8.974 Å, c = 4.702 Å, α = 90.00°, β = 90.00° and γ = 90.00°. The asymmetric unit holds Cu at (0.000, 0.000, 0.000), Pt at (0.000, 0.250, 0.317) and Pt at (0.000, 0.500, 0.003).

The calculation puts the uncorrected energy at -6.3607 eV per atom. The value obtained for the energy of formation from the pure elements is -55 meV/atom. The total magnetization comes out at 0.00 μB per formula unit.

=====

## ZnCrSb2 (PBEsol)

Data for ZnCrSb2 after structural relaxation.

It has space group I4/mmm (No. 139), with a = 4.490 Å, b = 4.490 Å, c = 7.937 Å, α = 90.00°, β = 90.00° and γ = 90.00°. The asymmetric unit holds Zn at (0.000, 0.000, 0.000), Cr at (0.000, 0.000, 0.500) and Sb at (0.000, 0.500, 0.250).

Its formation energy without anion corrections is 34 kJ/mol of atoms. The calculation puts the uncorrected energy at -4.8872 eV per atom. The total magnetization comes out at 3.38 μB per formula unit.

=====

## BaTlHg2W (PBEsol)

Data for BaTlHg2W after structural relaxation.

It has space group P4/mmm (No. 123), with a = 5.323 Å, b = 5.323 Å, c = 5.539 Å, α = 90.00°, β = 90.00° and γ = 90.00°. The asymmetric unit holds Ba at (0.000, 0.000, 0.000), Tl at (0.500, 0.500, 0.000), Hg at (0.000, 0.500, 0.500) and W at (0.000, 0.000, 0.500).

The calculation puts the uncorrected energy at -3.1497 eV per atom. The value obtained for the energy of formation from the pure elements is 794 meV/atom. The total magnetization comes out at 0.00 μB per formula unit.

=====

## Ag2Au (PBEsol)

Data for Ag2Au after structural relaxation.

It has space group C2/m (No. 12), with a = 10.679 Å, b = 2.844 Å, c = 6.844 Å, α = 90.00°, β = 105.85° and γ = 90.00°. The asymmetric unit holds Ag at (0.027, 0.000, 0.305), Ag at (0.138, 0.500, 0.027) and Au at (0.195, 0.500, 0.641).

The calculation puts the uncorrected energy at -3.5489 eV per atom. The value obtained for the energy of formation from the pure elements is -33 meV/atom. The value obtained for the energy relative to the lowest polymorph listed for this composition is 16 meV/atom. The total magnetization comes out at 0.00 μB per formula unit.

=====

## YIrRu2 (PBEsol)

Data for YIrRu2 after structural relaxation.

It has space group P4/mmm (No. 123), with a = 3.220 Å, b = 3.220 Å, c = 6.402 Å, α = 90.00°, β = 90.00° and γ = 90.00°. The asymmetric unit holds Y at (0.000, 0.000, 0.000), Ir at (0.000, 0.000, 0.500) and Ru at (0.500, 0.500, 0.294).

The calculation puts the uncorrected energy at -9.0222 eV per atom. The value obtained for the energy of formation from the pure elements is 225 meV/atom. The value obtained for the energy relative to the lowest polymorph listed for this composition is 196 meV/atom. The total magnetization comes out at 0.00 μB per formula unit.

=====

## MgCu5 (PBEsol)

Data for MgCu5 after structural relaxation.

It has space group Amm2 (No. 38), with a = 4.155 Å, b = 2.687 Å, c = 13.100 Å, α = 90.00°, β = 90.00° and γ = 90.00°. The asymmetric unit holds Mg at (0.000, 0.000, 0.000), Cu at (0.000, 0.000, 0.327), Cu at (0.000, 0.000, 0.671), Cu at (0.500, 0.000, 0.121), Cu at (0.500, 0.000, 0.444) and Cu at (0.500, 0.000, 0.784).

The calculation puts the uncorrected energy at -3.8728 eV per atom. The value obtained for the energy of formation from the pure elements is 25 meV/atom. The total magnetization comes out at 0.00 μB per formula unit.

=====

## CaPr2BeO5 (PBEsol)

Data for CaPr2BeO5 after structural relaxation.

It has space group Pna2_1 (No. 33), with a = 9.435 Å, b = 6.469 Å, c = 7.203 Å, α = 90.00°, β = 90.00° and γ = 90.00°. The asymmetric unit holds Ca at (0.177, 0.078, 0.000), Pr at (0.024, 0.598, 0.767), Pr at (0.171, 0.073, 0.548), Be at (0.105, 0.807, 0.270), O at (0.012, 0.020, 0.272), O at (0.071, 0.689, 0.079), O at (0.075, 0.694, 0.463), O at (0.222, 0.358, 0.771) and O at (0.228, 0.332, 0.271).

Its formation energy without anion corrections is -304 kJ/mol of atoms. The calculation puts the uncorrected energy at -7.9048 eV per atom. The total magnetization comes out at 0.00 μB per formula unit.